Entry 1:
SrCrNiAs2 | PBE-GGA | optimized geometry

Unit cell a=3.956 b=3.956 c=6.847 alpha=106.79 beta=106.79 gamma=90.00
Each line ends with the local moment (μB).
Element x y z (fractional)
1 Sr 0.000 0.000 0.000  0.01
2 Ni 0.750 0.250 0.500  -0.30
3 As 0.361 0.361 0.722  -0.09
4 As 0.639 0.639 0.278  -0.09
5 Cr 0.250 0.750 0.500  2.32

The total energy comes out at -0.2165 hartree per atom. Its calculated volume is 19.6 Å³ per atom. Its density of states at the Fermi level is 1.61 states/eV/cell. The calculation puts the formation energy at -3.07 eV/f.u.

Entry 2:
CrNi7Te2As2 | PBE-GGA | optimized geometry

Unit cell a=3.667 b=3.667 c=14.176 alpha=82.58 beta=82.58 gamma=89.99
Each line ends with the local moment (μB).
Element x y z (fractional)
1 Ni 0.699 0.699 0.603  0.03
2 Ni 0.500 0.500 0.000  0.12
3 Ni 0.438 0.938 0.125  0.05
4 Ni 0.562 0.062 0.875  0.05
5 Ni 0.301 0.301 0.397  0.03
6 Ni 0.938 0.438 0.125  0.05
7 Ni 0.062 0.562 0.875  0.05
8 Te 0.209 0.209 0.583  0.01
9 Te 0.791 0.791 0.417  0.01
10 As 0.615 0.615 0.770  -0.01
11 As 0.385 0.385 0.230  -0.01
12 Cr 0.000 0.000 0.000  2.31

The total energy comes out at -0.2057 hartree per atom. Its calculated volume is 15.6 Å³ per atom. Its density of states at the Fermi level is 11.96 states/eV/cell. The value obtained for the formation energy (no corrections) is -124 meV per atom.

Entry 3:
TiCrNi2As | PBE-GGA | optimized geometry

Unit cell a=4.269 b=4.429 c=4.269 alpha=90.00 beta=90.00 gamma=90.00
Element x y z (fractional)
1 Ni 0.000 0.000 0.500
2 Ni 0.500 0.000 0.000
3 Cr 0.000 0.000 0.000
4 As 0.000 0.500 0.000
5 Ti 0.500 0.500 0.500

The total energy comes out at -0.2255 hartree per atom. Its calculated volume is 16.1 Å³ per atom. Its density of states at the Fermi level is 6.72 states/eV/cell. The calculation puts the formation energy at 3.05 eV/f.u.

Entry 4:
NpCrAs2 | PBE-GGA | optimized geometry

Unit cell a=2.942 b=2.942 c=9.674 alpha=81.25 beta=81.25 gamma=60.00
Each line ends with the local moment (μB).
Element x y z (fractional)
1 As 0.896 0.896 0.313  0.01
2 As 0.104 0.104 0.687  0.01
3 Cr 0.500 0.500 0.500  -0.73
4 Np 0.000 0.000 0.000  3.41

The total energy comes out at -0.2912 hartree per atom. Its calculated volume is 17.8 Å³ per atom. Its density of states at the Fermi level is 2.23 states/eV/cell. The calculation puts the formation energy at 0.17 eV/f.u.

Entry 5:
NpCrAs2 | PBE-GGA | optimized geometry

Unit cell a=3.631 b=3.632 c=6.909 alpha=105.29 beta=105.23 gamma=90.00
Each line ends with the local moment (μB).
Element x y z (fractional)
1 Np 0.221 0.881 0.228  3.84
2 Cr 0.471 0.630 0.728  2.93
3 As 0.597 0.256 0.979  -0.18
4 As 0.846 0.507 0.477  -0.18

The total energy comes out at -0.3007 hartree per atom. Its calculated volume is 21.1 Å³ per atom. Its density of states at the Fermi level is 6.77 states/eV/cell. The calculation puts the formation energy at -0.87 eV/f.u.

no.,total magnetic moment (μB per atom)
1,0.3964
2,0.2284
3,0.0003
4,0.7011
5,1.7428